Entry 1:
NiPt3 after structural relaxation, computed with PBE.

Unit cell a=4.758 b=4.758 c=2.759 alpha=90.00 beta=90.00 gamma=109.38
Last column: magnetic moment on the atom in μB.
Sites, in units of the cell vectors:
Pt 0.500 0.000 0.500  0.26
Pt 0.500 0.500 0.000  0.20
Pt 0.000 0.500 0.500  0.26
Ni 0.000 0.000 0.000  0.93

Properties
Its symmetry is Cmmm, No. 65. As for the density of states at the Fermi level: 1.6832 states/eV per atom. The formation energy is -6 kJ per mole of atoms. For the total DFT energy (no corrections), the calculation gives -6.036 eV per atom. The magnetic moment comes out at 1.61 Bohr magnetons per cell.

Entry 2:
Ni3Pt after structural relaxation, computed with PBE.

Unit cell a=2.642 b=4.463 c=4.438 alpha=100.45 beta=90.00 gamma=107.22
Last column: magnetic moment on the atom in μB.
Sites, in units of the cell vectors:
Pt 0.750 0.500 0.250  0.27
Ni 0.250 0.500 0.750  0.58
Ni 0.997 0.994 0.990  0.73
Ni 0.503 0.006 0.510  0.73

Properties
Its symmetry is C2/m, No. 12. As for the density of states at the Fermi level: 1.5673 states/eV per atom. The formation energy is -5 kJ per mole of atoms. For the total DFT energy (no corrections), the calculation gives -5.893 eV per atom. The magnetic moment comes out at 2.20 Bohr magnetons per cell.

Entry 3:
Ni4Pt5 after structural relaxation, computed with PBE.

Unit cell a=3.743 b=6.054 c=6.054 alpha=84.47 beta=72.00 gamma=72.00
Last column: magnetic moment on the atom in μB.
Sites, in units of the cell vectors:
Pt 0.000 0.341 0.659  0.32
Pt 0.326 0.341 0.008  0.32
Pt 0.000 0.667 0.333  0.37
Pt 0.674 0.992 0.659  0.32
Pt 0.000 0.992 0.008  0.32
Ni 0.667 0.667 0.998  0.77
Ni 0.667 0.332 0.333  0.77
Ni 0.333 0.667 0.668  0.77
Ni 0.333 0.002 0.333  0.77

Properties
Its symmetry is Immm, No. 71. As for the density of states at the Fermi level: 1.5455 states/eV per atom. The formation energy is -7 kJ per mole of atoms. The value obtained for the offset from the most stable computed form is 1 meV per atom. For the total DFT energy (no corrections), the calculation gives -5.997 eV per atom. The magnetic moment comes out at 4.55 Bohr magnetons per cell.

Entry 4:
Ni4Pt3 after structural relaxation, computed with PBE.

Unit cell a=2.693 b=3.640 c=9.629 alpha=100.90 beta=98.04 gamma=90.00
Last column: magnetic moment on the atom in μB.
Sites, in units of the cell vectors:
Ni 0.427 0.927 0.854  0.74
Ni 0.573 0.073 0.146  0.74
Ni 0.283 0.783 0.567  0.72
Ni 0.717 0.217 0.433  0.72
Pt 0.146 0.646 0.292  0.33
Pt 0.000 0.500 0.000  0.31
Pt 0.854 0.354 0.708  0.33

Properties
Its symmetry is Immm, No. 71. As for the density of states at the Fermi level: 1.4048 states/eV per atom. The formation energy is -9 kJ per mole of atoms. The value obtained for the offset from the most stable computed form is 0 meV per atom. For the total DFT energy (no corrections), the calculation gives -5.986 eV per atom. The magnetic moment comes out at 3.75 Bohr magnetons per cell.

Entry 5:
NiPt after structural relaxation, computed with PBE.

Unit cell a=4.659 b=8.015 c=4.634 alpha=90.00 beta=109.74 gamma=90.00
Last column: magnetic moment on the atom in μB.
Sites, in units of the cell vectors:
Ni 0.500 0.171 0.000  0.79
Ni 0.500 0.664 0.500  0.70
Ni 0.000 0.324 0.000  0.80
Ni 0.000 0.168 0.500  0.68
Ni 0.500 0.495 0.000  0.83
Ni 0.000 0.010 0.000  0.78
Pt 0.500 0.335 0.500  0.35
Pt 0.000 0.657 0.000  0.35
Pt 0.500 0.009 0.500  0.34
Pt 0.500 0.835 0.000  0.35
Pt 0.000 0.492 0.500  0.32
Pt 0.000 0.839 0.500  0.29

Properties
Its symmetry is P2, No. 3. As for the density of states at the Fermi level: 1.5374 states/eV per atom. The formation energy is -4 kJ per mole of atoms. For the total DFT energy (no corrections), the calculation gives -5.957 eV per atom. The magnetic moment comes out at 6.34 Bohr magnetons per cell.

Entry 6:
NiPt after structural relaxation, computed with PBE.

Unit cell a=6.542 b=2.705 c=6.542 alpha=90.00 beta=109.77 gamma=90.00
Last column: magnetic moment on the atom in μB.
Sites, in units of the cell vectors:
Ni 0.367 0.500 0.133  0.82
Ni 0.486 0.000 0.486  0.74
Ni 0.014 0.000 0.014  0.74
Ni 0.133 0.500 0.367  0.82
Pt 0.750 0.000 0.250  0.27
Pt 0.250 0.000 0.750  0.27
Pt 0.628 0.500 0.872  0.22
Pt 0.872 0.500 0.628  0.22

Properties
Its symmetry is Cmmm, No. 65. As for the density of states at the Fermi level: 1.6786 states/eV per atom. The formation energy is -2 kJ per mole of atoms. For the total DFT energy (no corrections), the calculation gives -5.931 eV per atom. The magnetic moment comes out at 3.96 Bohr magnetons per cell.

Entry 7:
Ni7Pt5 after structural relaxation, computed with PBE.

Unit cell a=7.407 b=2.691 c=7.919 alpha=90.00 beta=89.43 gamma=90.00
Last column: magnetic moment on the atom in μB.
Sites, in units of the cell vectors:
Pt 0.243 0.500 0.846  0.31
Pt 0.251 0.500 0.491  0.23
Pt 0.510 0.000 0.662  0.23
Pt 0.762 0.500 0.843  0.30
Pt 0.987 0.000 0.325  0.27
Ni 0.257 0.500 0.166  0.74
Ni 0.500 0.000 0.011  0.76
Ni 0.997 0.000 0.664  0.80
Ni 0.749 0.500 0.493  0.77
Ni 0.000 0.000 0.007  0.72
Ni 0.738 0.500 0.168  0.74
Ni 0.507 0.000 0.323  0.80

Properties
Its symmetry is Pm, No. 6. As for the density of states at the Fermi level: 1.5618 states/eV per atom. The formation energy is -5 kJ per mole of atoms. The value obtained for the offset from the most stable computed form is 21 meV per atom. For the total DFT energy (no corrections), the calculation gives -5.937 eV per atom. The magnetic moment comes out at 6.40 Bohr magnetons per cell.

Entry 8:
NiPt after structural relaxation, computed with PBE.

Unit cell a=4.652 b=6.541 c=5.980 alpha=111.25 beta=75.02 gamma=89.51
Last column: magnetic moment on the atom in μB.
Sites, in units of the cell vectors:
Pt 0.927 0.576 0.746  0.37
Pt 0.667 0.329 0.997  0.36
Pt 0.753 0.761 0.245  0.33
Pt 0.506 0.482 0.497  0.36
Pt 0.164 0.845 0.498  0.35
Pt 0.569 0.921 0.764  0.33
Ni 0.999 0.008 0.010  0.82
Ni 0.331 0.665 0.000  0.77
Ni 0.088 0.409 0.244  0.80
Ni 0.251 0.250 0.753  0.84
Ni 0.839 0.167 0.495  0.81
Ni 0.406 0.086 0.251  0.81

Properties
Its symmetry is P1, No. 1. As for the density of states at the Fermi level: 1.5820 states/eV per atom. The formation energy is -5 kJ per mole of atoms. For the total DFT energy (no corrections), the calculation gives -5.964 eV per atom. The magnetic moment comes out at 6.70 Bohr magnetons per cell.

> Which formula does entry 4 have?

Ni4Pt3

> Which of these has the highest total DFT energy (no corrections)?

Ni3Pt

> What is the magnetic moment in the fourth record?

3.75 Bohr magnetons per cell